(1)
# Al3CrS | Alexandria | PBE-GGA | optimized geometry
# Total DFT energy (no corrections): -4.292 eV/atom
# Space group: Pm-3m
# Density of states at the Fermi level: 0.40 states/eV/atom
data_Al3CrS
_chemical_formula_sum 'Al3 Cr1 S1'
_cell_length_a 4.8422
_cell_length_b 4.8422
_cell_length_c 4.8422
_cell_angle_alpha 90.00
_cell_angle_beta 90.00
_cell_angle_gamma 90.00
_symmetry_space_group_name_H-M 'P 1'
_symmetry_Int_Tables_number 1
_symmetry_space_group_name_Hall 'P 1'
loop_
_atom_site_label
_atom_site_type_symbol
_atom_site_fract_x
_atom_site_fract_y
_atom_site_fract_z
_atom_site_occupancy
Cr1 Cr 0.0000 0.0000 0.0000 1
S1 S 0.5000 0.5000 0.5000 1
Al1 Al 0.0000 0.5000 0.0000 1
Al2 Al 0.0000 0.0000 0.5000 1
Al3 Al 0.5000 0.0000 0.0000 1

(2)
# AlCrS3 | Alexandria | PBE-GGA | optimized geometry
# Total DFT energy (no corrections): -5.923 eV/atom
# Space group: P2_1/m
# Density of states at the Fermi level: 0.40 states/eV/atom
data_AlCrS3
_chemical_formula_sum 'Al2 Cr2 S6'
_cell_length_a 3.4344
_cell_length_b 7.3486
_cell_length_c 13.3853
_cell_angle_alpha 136.11
_cell_angle_beta 90.00
_cell_angle_gamma 90.00
_symmetry_space_group_name_H-M 'P 1'
_symmetry_Int_Tables_number 1
_symmetry_space_group_name_Hall 'P 1'
loop_
_atom_site_label
_atom_site_type_symbol
_atom_site_fract_x
_atom_site_fract_y
_atom_site_fract_z
_atom_site_occupancy
Al1 Al 0.2500 0.2421 0.6077 1
Al2 Al 0.7500 0.7579 0.3923 1
Cr1 Cr 0.2500 0.1021 0.1150 1
Cr2 Cr 0.7500 0.8979 0.8850 1
S1 S 0.2500 0.2028 0.9920 1
S2 S 0.7500 0.7972 0.0080 1
S3 S 0.2500 0.9053 0.3541 1
S4 S 0.7500 0.0947 0.6459 1
S5 S 0.2500 0.6437 0.7029 1
S6 S 0.7500 0.3563 0.2971 1

Q: Number 1 is which compound?
A: Al3CrS

Q: Which of these has the lowest total DFT energy (no corrections)?
A: AlCrS3

Copy entry 2 word for word.
# AlCrS3 | Alexandria | PBE-GGA | optimized geometry
# Total DFT energy (no corrections): -5.923 eV/atom
# Space group: P2_1/m
# Density of states at the Fermi level: 0.40 states/eV/atom
data_AlCrS3
_chemical_formula_sum 'Al2 Cr2 S6'
_cell_length_a 3.4344
_cell_length_b 7.3486
_cell_length_c 13.3853
_cell_angle_alpha 136.11
_cell_angle_beta 90.00
_cell_angle_gamma 90.00
_symmetry_space_group_name_H-M 'P 1'
_symmetry_Int_Tables_number 1
_symmetry_space_group_name_Hall 'P 1'
loop_
_atom_site_label
_atom_site_type_symbol
_atom_site_fract_x
_atom_site_fract_y
_atom_site_fract_z
_atom_site_occupancy
Al1 Al 0.2500 0.2421 0.6077 1
Al2 Al 0.7500 0.7579 0.3923 1
Cr1 Cr 0.2500 0.1021 0.1150 1
Cr2 Cr 0.7500 0.8979 0.8850 1
S1 S 0.2500 0.2028 0.9920 1
S2 S 0.7500 0.7972 0.0080 1
S3 S 0.2500 0.9053 0.3541 1
S4 S 0.7500 0.0947 0.6459 1
S5 S 0.2500 0.6437 0.7029 1
S6 S 0.7500 0.3563 0.2971 1